No. 1
## FeReBiPt2 (PBE)

Data for a geometry-optimized FeReBiPt2 structure.

Cell lengths 5.011, 5.011, 4.797 Å; angles 90.00, 90.00, 90.00 degrees
Space group P4/mmm (No. 123)
Asymmetric unit:
Fe 0.000 0.000 0.000 [1 per cell]
Re 0.500 0.500 0.000 [1 per cell]
Bi 0.000 0.000 0.500 [1 per cell]
Pt 0.000 0.500 0.500 [2 per cell]

Computed properties:
- ΔE_f: 2.06 eV/atom
- V: 24.09 Å³/atom
- Electronic total energy: -26.6 eV/cell
- Total magnetization: 6.65 μB/cell



No. 2
## ScFe2BiPt (PBE)

Data for a geometry-optimized ScFe2BiPt structure.

Cell lengths 4.741, 4.741, 5.324 Å; angles 90.00, 90.00, 90.00 degrees
Space group P4/mmm (No. 123)
Asymmetric unit:
Sc 0.000 0.000 0.000 [1 per cell]
Fe 0.000 0.500 0.500 [2 per cell]
Bi 0.500 0.500 0.000 [1 per cell]
Pt 0.500 0.500 0.500 [1 per cell]

Computed properties:
- ΔE_f: 0.64 eV/atom
- V: 23.93 Å³/atom
- Electronic total energy: -30.0 eV/cell
- Total magnetization: 6.01 μB/cell



No. 3
## TiFeBi2Pt (PBE)

Data for a geometry-optimized TiFeBi2Pt structure.

Cell lengths 5.011, 5.011, 4.781 Å; angles 90.00, 90.00, 90.00 degrees
Space group P4/mmm (No. 123)
Asymmetric unit:
Ti 0.000 0.000 0.000 [1 per cell]
Fe 0.500 0.500 0.500 [1 per cell]
Bi 0.000 0.500 0.500 [2 per cell]
Pt 0.500 0.500 0.000 [1 per cell]

Computed properties:
- ΔE_f: 0.66 eV/atom
- V: 24.01 Å³/atom
- Electronic total energy: -26.9 eV/cell
- Total magnetization: 4.15 μB/cell



No. 4
## ZnFeBi2Pt (PBE)

Data for a geometry-optimized ZnFeBi2Pt structure.

Cell lengths 5.439, 5.439, 4.739 Å; angles 90.00, 90.00, 90.00 degrees
Space group P4/mmm (No. 123)
Asymmetric unit:
Zn 0.000 0.000 0.000 [1 per cell]
Fe 0.500 0.500 0.000 [1 per cell]
Bi 0.000 0.500 0.500 [2 per cell]
Pt 0.000 0.000 0.500 [1 per cell]

Computed properties:
- ΔE_f: 0.70 eV/atom
- V: 28.04 Å³/atom
- Electronic total energy: -20.1 eV/cell
- Total magnetization: 3.32 μB/cell



No. 5
## Pu2FeBi (PBE)

Data for a geometry-optimized Pu2FeBi structure.

Cell lengths 3.306, 3.306, 8.599 Å; angles 90.00, 90.00, 90.00 degrees
Space group P4/mmm (No. 123)
Asymmetric unit:
Pu 0.000 0.000 0.197 [2 per cell]
Fe 0.500 0.500 0.000 [1 per cell]
Bi 0.500 0.500 0.500 [1 per cell]

Computed properties:
- ΔE_f: -0.12 eV/atom
- V: 23.50 Å³/atom
- Electronic total energy: -41.5 eV/cell
- Total magnetization: 9.41 μB/cell



No. 6
## Pu3FeBi (PBE)

Data for a geometry-optimized Pu3FeBi structure.

Cell lengths 5.050, 5.050, 5.050 Å; angles 90.00, 90.00, 90.00 degrees
Space group Pm-3m (No. 221)
Asymmetric unit:
Pu 0.000 0.000 0.500 [3 per cell]
Fe 0.000 0.000 0.000 [1 per cell]
Bi 0.500 0.500 0.500 [1 per cell]

Computed properties:
- ΔE_f: -0.13 eV/atom
- V: 25.76 Å³/atom
- Electronic total energy: -56.0 eV/cell
- Total magnetization: 15.80 μB/cell